A relaxed PmCo2OsO6 crystal, computed with PBE with a Hubbard U.

Output
Symmetry: R3
Density, g cm⁻³: 7.9
Total energy, eV per atom: -7.0273

a = 5.6392 Å, b = 5.6392 Å, c = 5.6392 Å
α = 56.15°, β = 56.15°, γ = 56.15°
Element x y z (fractional)
Pm: 0.0000 0.0000 0.0000
Co: 0.2091 0.2091 0.2091
Co: 0.7299 0.7299 0.7299
Os: 0.5284 0.5284 0.5284
O: 0.1267 0.4406 0.8213
O: 0.3570 0.9410 0.5459
O: 0.4406 0.8213 0.1267
O: 0.5459 0.3570 0.9410
O: 0.8213 0.1267 0.4406
O: 0.9410 0.5459 0.3570